Record 1
DFT (PBE-GGA) results for a relaxed structure of NaGd.

```
NaGd
1.0
3.4587 0.0000 0.0000
-1.7293 2.9953 0.0000
0.0000 0.0000 6.1635
Na Gd
1 1
Direct
0.0000 0.0000 0.0000
0.3333 0.6667 0.5000
```

## Properties
Space group = P-6m2
ΔE to the lowest computed polymorph = 0 meV/atom
Final energy = -5.46 eV per cell

***

Record 2
DFT (PBE-GGA) results for a relaxed structure of Nd3Mg3HgAu2.

```
Nd3Mg3HgAu2
1.0
7.8198 0.0000 0.0000
-3.9099 6.7721 0.0000
0.0000 0.0000 4.2659
Nd Mg Hg Au
3 3 1 2
Direct
0.0000 0.5823 0.0000
0.4177 0.4177 0.0000
0.5823 0.0000 0.0000
0.0000 0.2505 0.5000
0.2505 0.0000 0.5000
0.7495 0.7495 0.5000
0.0000 0.0000 0.0000
0.3333 0.6667 0.5000
0.6667 0.3333 0.5000
```

## Properties
Space group = P-62m
Final energy = -30.86 eV per cell

***

Record 3
DFT (PBE-GGA) results for a relaxed structure of TeIr7.

```
TeIr7
1.0
2.7860 0.0000 0.0000
0.0000 2.7860 0.0000
0.0000 0.0000 42.3281
Te Ir
2 14
Direct
0.2500 0.2500 0.1575
0.7500 0.7500 0.8425
0.2500 0.2500 0.2533
0.2500 0.2500 0.3434
0.2500 0.2500 0.4329
0.2500 0.2500 0.5224
0.2500 0.2500 0.6118
0.2500 0.2500 0.7017
0.2500 0.2500 0.7910
0.7500 0.7500 0.2090
0.7500 0.7500 0.2983
0.7500 0.7500 0.3882
0.7500 0.7500 0.4776
0.7500 0.7500 0.5671
0.7500 0.7500 0.6566
0.7500 0.7500 0.7467
```

## Properties
Space group = P4/nmm
ΔE to the lowest computed polymorph = 74 meV/atom
Final energy = -127.14 eV per cell

***

Record 4
DFT (PBE-GGA) results for a relaxed structure of LaPuTa.

```
LaPuTa
1.0
0.0000 3.4179 3.4179
3.4179 0.0000 3.4179
3.4179 3.4179 0.0000
La Pu Ta
1 1 1
Direct
0.0000 0.0000 0.0000
0.7500 0.7500 0.7500
0.2500 0.2500 0.2500
```

## Properties
Space group = F-43m
ΔE to the lowest computed polymorph = 0 meV/atom
Final energy = -27.44 eV per cell

***

Record 5
DFT (PBE-GGA) results for a relaxed structure of Tm2LuFe3Co6.

```
Tm2LuFe3Co6
1.0
2.4927 1.4392 7.8754
-2.4927 1.4392 7.8754
0.0000 -2.8783 7.8754
Tm Lu Fe Co
2 1 3 6
Direct
0.1400 0.1400 0.1400
0.8600 0.8600 0.8600
0.0000 0.0000 0.0000
0.3343 0.3343 0.3343
0.5000 0.5000 0.5000
0.6657 0.6657 0.6657
0.0781 0.5842 0.5842
0.4158 0.4158 0.9219
0.4158 0.9219 0.4158
0.5842 0.0781 0.5842
0.5842 0.5842 0.0781
0.9219 0.4158 0.4158
```

## Properties
Space group = R-3m
Final energy = -83.68 eV per cell

***

Record 6
DFT (PBE-GGA) results for a relaxed structure of RbAl2Zn2.

```
RbAl2Zn2
1.0
-2.1815 2.1815 6.0002
2.1815 -2.1815 6.0002
2.1815 2.1815 -6.0002
Rb Al Zn
1 2 2
Direct
0.0000 0.0000 0.0000
0.2500 0.7500 0.5000
0.7500 0.2500 0.5000
0.3807 0.3807 0.0000
0.6193 0.6193 0.0000
```

## Properties
Space group = I4/mmm
Final energy = -10.40 eV per cell

***

Which of these has the highest final energy? NaGd

***

Which value of final energy does entry 2 give? -30.86 eV per cell

***

What is the final energy in the fifth record? -83.68 eV per cell

***

Among the records above, which one has the highest final energy? NaGd